# 1
DFT (GGA-PBE) results for a relaxed LaErSe3 crystal.

The structure in POSCAR format:
```
LaErSe3
1.0
7.588 -2.062 0.000
7.588 2.062 0.000
-0.390 0.000 9.067
La Er Se
2 2 6
Direct
0.114 0.114 0.088
0.886 0.886 0.912
0.325 0.325 0.365
0.675 0.675 0.635
0.139 0.139 0.436
0.245 0.245 0.836
0.463 0.463 0.165
0.537 0.537 0.835
0.755 0.755 0.164
0.861 0.861 0.564
```

ΔE_f (raw) = -1.916 eV/atom
polymorph energy (0 for the lowest one) = 0.038 eV per atom
space group = No. 12

# 2
DFT (GGA-PBE) results for a relaxed Cs2Rb2Li crystal.

The structure in POSCAR format:
```
Cs2Rb2Li
1.0
5.967 0.000 0.000
0.000 5.967 0.000
0.000 0.000 26.502
Cs Rb Li
4 4 2
Direct
0.000 0.000 0.087
0.000 0.000 0.913
0.500 0.500 0.413
0.500 0.500 0.587
0.000 0.500 0.250
0.000 0.500 0.750
0.500 0.000 0.250
0.500 0.000 0.750
0.000 0.000 0.500
0.500 0.500 0.000
```

ΔH_f (0 K) = 0.1980 eV per atom
polymorph energy (0 for the lowest one) = 0.068 eV per atom
space group = No. 139

# 3
DFT (GGA-PBE) results for a relaxed DyZrNi10 crystal.

The structure in POSCAR format:
```
DyZrNi10
1.0
3.961 0.000 0.000
0.000 4.812 0.000
0.000 0.000 8.334
Dy Zr Ni
1 1 10
Direct
0.000 0.000 0.000
0.000 0.500 0.500
0.000 0.000 0.339
0.000 0.000 0.661
0.000 0.500 0.174
0.000 0.500 0.826
0.500 0.000 0.500
0.500 0.253 0.255
0.500 0.253 0.745
0.500 0.500 0.000
0.500 0.747 0.255
0.500 0.747 0.745
```

ΔH_f (0 K) = -0.3083 eV per atom
space group = No. 47